Entry 1:
An optimized crystal structure of Pm4HoSc. Source: the Alexandria database, functional GGA-PBE.

Unit cell a=7.9555 b=8.6052 c=8.2776 alpha=121.32 beta=118.72 gamma=90.00
Positions (direct):
1 Pm 0.7721 0.7174 0.5441
2 Pm 0.1825 0.7232 0.9464
3 Pm 0.7639 0.7232 0.9464
4 Pm 0.7721 0.3267 0.5441
5 Pm 0.2279 0.6733 0.4559
6 Pm 0.8175 0.2768 0.0536
7 Pm 0.2361 0.2768 0.0536
8 Pm 0.2279 0.2826 0.4559
9 Ho 0.5000 0.0000 0.5000
10 Ho 0.0000 0.0000 0.5000
11 Sc 0.5000 0.5000 0.0000
12 Sc 0.5000 0.0000 0.0000

## Properties
- E_form (meV per atom) = 362.6
- excess energy over the best structure of this formula in the dataset (meV per atom) = 250.6
- density of states at the Fermi level (states/eV/atom) = 1.247



Entry 2:
An optimized crystal structure of KOsC2. Source: the Alexandria database, functional GGA-PBE.

Unit cell a=4.0864 b=4.0864 c=4.0864 alpha=60.00 beta=60.00 gamma=60.00
Positions (direct):
1 K 0.0000 0.0000 0.0000
2 Os 0.5000 0.5000 0.5000
3 C 0.2500 0.2500 0.2500
4 C 0.7500 0.7500 0.7500

## Properties
- E_form (meV per atom) = 2633.4
- excess energy over the best structure of this formula in the dataset (meV per atom) = 2101.2
- density of states at the Fermi level (states/eV/atom) = 1.256



Entry 3:
An optimized crystal structure of Sr7AuI12. Source: the Alexandria database, functional GGA-PBE.

Unit cell a=10.6796 b=10.6796 c=10.6796 alpha=107.87 beta=107.87 gamma=107.87
Positions (direct):
1 Sr 0.9756 0.6587 0.8855
2 Sr 0.3413 0.1145 0.0244
3 Sr 0.1145 0.0244 0.3413
4 Sr 0.5000 0.5000 0.5000
5 Sr 0.8855 0.9756 0.6587
6 Sr 0.6587 0.8855 0.9756
7 Sr 0.0244 0.3413 0.1145
8 Au 0.0000 0.0000 0.0000
9 I 0.9188 0.3132 0.7804
10 I 0.6868 0.2196 0.0812
11 I 0.4475 0.1550 0.3664
12 I 0.8450 0.6336 0.5525
13 I 0.2196 0.0812 0.6868
14 I 0.6336 0.5525 0.8450
15 I 0.3664 0.4475 0.1550
16 I 0.7804 0.9188 0.3132
17 I 0.1550 0.3664 0.4475
18 I 0.5525 0.8450 0.6336
19 I 0.3132 0.7804 0.9188
20 I 0.0812 0.6868 0.2196

## Properties
- ΔE_f (raw) (kJ/mol of atoms) = -148.4
- density of states at the Fermi level (states/eV/atom) = 0.235



Entry 4:
An optimized crystal structure of MnBeAg4. Source: the Alexandria database, functional GGA-PBE.

Unit cell a=5.3770 b=5.3770 c=5.3770 alpha=60.00 beta=60.00 gamma=60.00
Positions (direct):
1 Mn 0.0000 0.0000 0.0000
2 Be 0.7500 0.7500 0.7500
3 Ag 0.8747 0.3751 0.3751
4 Ag 0.3751 0.3751 0.8747
5 Ag 0.3751 0.8747 0.3751
6 Ag 0.3751 0.3751 0.3751

## Properties
- E_form (meV per atom) = 579.6
- density of states at the Fermi level (states/eV/atom) = 0.496



Entry 5:
An optimized crystal structure of Th8SiP4Se3. Source: the Alexandria database, functional GGA-PBE.

Unit cell a=8.3495 b=8.3871 c=8.3489 alpha=119.85 beta=120.00 gamma=90.00
Positions (direct):
1 Th 0.2511 0.7638 0.0127
2 Th 0.2511 0.7638 0.5022
3 Th 0.2434 0.2303 0.4869
4 Th 0.7615 0.7638 0.0127
5 Th 0.2385 0.2362 0.9873
6 Th 0.7566 0.7697 0.5131
7 Th 0.7489 0.2362 0.4978
8 Th 0.7489 0.2362 0.9873
9 Si 0.0000 0.5000 0.0000
10 P 0.5000 0.0000 0.0000
11 P 0.5000 0.0000 0.5000
12 P 0.0000 0.0000 0.0000
13 P 0.0000 0.0000 0.5000
14 Se 0.5000 0.5000 0.0000
15 Se 0.5000 0.5000 0.5000
16 Se 0.0000 0.5000 0.5000

## Properties
- ΔE_f (raw) (kJ/mol of atoms) = -143.9
- density of states at the Fermi level (states/eV/atom) = 0.574



Entry 6:
An optimized crystal structure of LaSN3. Source: the Alexandria database, functional GGA-PBE.

Unit cell a=3.7901 b=3.7901 c=3.7901 alpha=90.00 beta=90.00 gamma=90.00
Positions (direct):
1 S 0.0000 0.0000 0.0000
2 N 0.0000 0.5000 0.0000
3 N 0.0000 0.0000 0.5000
4 N 0.5000 0.0000 0.0000
5 La 0.5000 0.5000 0.5000

## Properties
- ΔE_f (raw) (kJ/mol of atoms) = 39.4
- density of states at the Fermi level (states/eV/atom) = 0.722